No. 1
A plane-wave DFT calculation with GGA-PBE was carried out for crystalline Tb4PmAl2 at its relaxed geometry.

Lattice parameters (Å, degrees): 5.0509 5.0509 10.5572 76.16 76.16 60.00
Fractional positions:
Tb  0.2976  0.2976  0.1072
Tb  0.1017  0.1017  0.6950
Pm  0.5000  0.5000  0.5000
Al  0.3996  0.3996  0.8011
Tb  0.7024  0.7024  0.8928
Al  0.6004  0.6004  0.1989
Tb  0.8983  0.8983  0.3050

Summary:
Mass density   6.18 g cm⁻³
M_tot   0.000 μB per atom
Total energy   -30.08 eV for the cell shown

No. 2
A plane-wave DFT calculation with GGA-PBE was carried out for crystalline CuSbOs at its relaxed geometry.

Lattice parameters (Å, degrees): 4.3646 4.3646 3.1242 90.00 90.00 120.00
Fractional positions:
Os  0.6667  0.3333  0.4508
Sb  0.3333  0.6667  0.5675
Cu  0.0000  0.0000  0.9817

Summary:
Mass density   12.10 g cm⁻³
M_tot   0.000 μB per atom
Formation energy without anion corrections   607 meV/atom

No. 3
A plane-wave DFT calculation with GGA-PBE was carried out for crystalline SiTcW2 at its relaxed geometry.

Lattice parameters (Å, degrees): 8.8448 8.8448 8.8448 18.42 18.42 18.42
Fractional positions:
Tc  0.7542  0.7542  0.7542
W  0.0040  0.0040  0.0040
W  0.2455  0.2455  0.2455
Si  0.4964  0.4964  0.4964

Summary:
Mass density   13.58 g cm⁻³
M_tot   0.000 μB per atom
Formation energy without anion corrections   111 meV/atom

No. 4
A plane-wave DFT calculation with GGA-PBE was carried out for crystalline BiSe2BrN at its relaxed geometry.

Lattice parameters (Å, degrees): 5.7002 5.7002 4.6611 90.00 90.00 90.00
Site moments in Bohr magnetons follow the coordinates.
Fractional positions:
Bi  0.0000  0.0000  0.0000  -0.04
N  0.0000  0.0000  0.5000  1.24
Br  0.5000  0.5000  0.5000  0.60
Se  0.0000  0.5000  0.0000  0.70
Se  0.5000  0.0000  0.0000  0.70

Summary:
Mass density   5.05 g cm⁻³
M_tot   0.957 μB per atom
Formation energy without anion corrections   1118 meV/atom

no.,calculated volume (Å³/f.u.)
1,224.2
2,51.5
3,60.4
4,151.4